1.
Entry from Alexandria via LeMat-Bulk: a PBEsol-optimized structure of Li2Te2I (meta-GGA SCAN).

Lattice parameters (Å, degrees): 3.4511 8.7232 8.7232 90.00 90.00 90.00
Element x y z (fractional)
I1 0.0000 0.5000 0.5000
Te1 0.0000 0.8269 0.6731
Te2 0.0000 0.6731 0.1731
Te3 0.0000 0.3269 0.8269
Li1 0.5000 0.1334 0.6334
Te4 0.0000 0.1731 0.3269
Li2 0.5000 0.6334 0.8666
I2 0.0000 0.0000 0.0000
Li3 0.5000 0.8666 0.3666
Li4 0.5000 0.3666 0.1334

## Properties
Magnetic moment (μB/cell): 0.00
Formation energy without anion corrections (kJ/mol of atoms): -39.66
Electronic total energy (eV/cell): -236.16
Crystal system: tetragonal
Symmetry: P4/mbm

=====

2.
Entry from Alexandria via LeMat-Bulk: a PBEsol-optimized structure of LiTeI3 (meta-GGA SCAN).

Lattice parameters (Å, degrees): 5.2713 5.2713 5.2713 90.00 90.00 90.00
Element x y z (fractional)
I1 0.0000 0.5000 0.0000
Te1 0.5000 0.5000 0.5000
I2 0.0000 0.0000 0.5000
I3 0.5000 0.0000 0.0000
Li1 0.0000 0.0000 0.0000

## Properties
Magnetic moment (μB/cell): 0.00
Formation energy without anion corrections (kJ/mol of atoms): -0.47
Electronic total energy (eV/cell): -149.89
Crystal system: cubic
Symmetry: Pm-3m

=====

3.
Entry from Alexandria via LeMat-Bulk: a PBEsol-optimized structure of LiYTe2I (meta-GGA SCAN).

Lattice parameters (Å, degrees): 5.7927 5.7927 6.0008 90.00 90.00 90.00
Element x y z (fractional)
Te1 0.0000 0.5000 0.0000
Te2 0.5000 0.0000 0.0000
Y1 0.0000 0.0000 0.0000
I1 0.0000 0.0000 0.5000
Li1 0.5000 0.5000 0.5000

## Properties
Magnetic moment (μB/cell): 0.00
Formation energy without anion corrections (kJ/mol of atoms): -78.57
Electronic total energy (eV/cell): -145.55
Crystal system: tetragonal
Symmetry: P4/mmm

=====

4.
Entry from Alexandria via LeMat-Bulk: a PBEsol-optimized structure of LiZnTeI2 (meta-GGA SCAN).

Lattice parameters (Å, degrees): 5.1649 5.2928 5.2928 90.00 90.00 90.00
Last column: magnetic moment on the atom in μB.
Element x y z (fractional)
I1 0.0000 0.5000 0.0000  -0.12
Zn1 0.5000 0.5000 0.5000  0.07
Li1 0.0000 0.0000 0.0000  0.00
I2 0.0000 0.0000 0.5000  -0.12
Te1 0.5000 0.0000 0.0000  -0.46

## Properties
Magnetic moment (μB/cell): 1.00
Formation energy without anion corrections (kJ/mol of atoms): 17.90
Electronic total energy (eV/cell): -125.71
Crystal system: tetragonal
Symmetry: P4/mmm

=====

What is the formation energy without anion corrections in the first record? -39.66 kJ/mol of atoms

=====

Among the records above, which one has the highest formation energy without anion corrections? LiZnTeI2